(1)
DFT (PBE) results for an optimized crystal structure of KHg2Ru.

Lattice parameters (Å, degrees): 5.2914 5.2914 3.1344 90.00 90.00 90.50
Atoms (fractional coordinates):
K (0.0000, 0.0000, 0.0000)
Hg (0.0000, 0.5000, 0.5000)
Hg (0.5000, 0.0000, 0.5000)
Ru (0.5000, 0.5000, 0.0000)

## Properties
space-group type	Cmmm, No. 65
polymorph energy (0 for the lowest one)	54	kJ/mol of formula units

(2)
DFT (PBE) results for an optimized crystal structure of MoHIrRh2.

Lattice parameters (Å, degrees): 3.8759 3.8759 4.0331 90.00 90.00 90.00
Atoms (fractional coordinates):
Mo (0.0000, 0.0000, 0.0000)
H (0.0000, 0.0000, 0.5000)
Ir (0.5000, 0.5000, 0.0000)
Rh (0.0000, 0.5000, 0.5000)
Rh (0.5000, 0.0000, 0.5000)

## Properties
space-group type	P4/mmm, No. 123
polymorph energy (0 for the lowest one)	0	kJ/mol of formula units

(3)
DFT (PBE) results for an optimized crystal structure of PrMg2Ga2Pd2.

Lattice parameters (Å, degrees): 8.5526 8.5526 8.5526 30.34 30.34 30.34
Atoms (fractional coordinates):
Pr (0.0000, 0.0000, 0.0000)
Mg (0.1355, 0.1355, 0.1355)
Mg (0.8645, 0.8645, 0.8645)
Ga (0.4126, 0.4126, 0.4126)
Ga (0.5874, 0.5874, 0.5874)
Pd (0.2478, 0.2478, 0.2478)
Pd (0.7522, 0.7522, 0.7522)

## Properties
space-group type	R-3m, No. 166
E	-4.1248	eV per atom

(4)
DFT (PBE) results for an optimized crystal structure of AcNd3Dy6.

Lattice parameters (Å, degrees): 6.6701 6.6701 9.9373 110.92 110.92 59.49
Atoms (fractional coordinates):
Ac (0.0000, 0.0000, 0.0000)
Nd (0.0685, 0.0685, 0.6933)
Nd (0.5000, 0.5000, 0.5000)
Nd (0.9315, 0.9315, 0.3067)
Dy (0.0665, 0.5594, 0.6842)
Dy (0.3629, 0.3629, 0.0837)
Dy (0.4406, 0.9335, 0.3158)
Dy (0.5594, 0.0665, 0.6842)
Dy (0.6371, 0.6371, 0.9163)
Dy (0.9335, 0.4406, 0.3158)

## Properties
space-group type	C2/m, No. 12
E	-4.3689	eV per atom

One value per record, in order, for density of states at the Fermi level: 1.8 4.8 4.3 18.4 states/eV/f.u..